No. 1
# Gd5Pt2Br3O10 (PBE, relaxed)
# Total energy: -6.6505 eV/atom
# M_tot: 0.564 μB per cell
data_Gd5Pt2Br3O10
_cell_length_a 12.147
_cell_length_b 5.473
_cell_length_c 9.825
_cell_angle_alpha 90.00
_cell_angle_beta 103.05
_cell_angle_gamma 90.00
_symmetry_space_group_name_H-M 'C 1 2/m 1'
_symmetry_Int_Tables_number 12
loop_
_symmetry_equiv_pos_as_xyz
'x,y,z'
'-x,-y,-z'
'-x,y,-z'
'x,-y,z'
'x+1/2,y+1/2,z'
'-x+1/2,-y+1/2,-z'
'-x+1/2,y+1/2,-z'
'x+1/2,-y+1/2,z'
loop_
_atom_site_label
_atom_site_fract_x
_atom_site_fract_y
_atom_site_fract_z
Gd1 0.000 0.000 0.000
Gd2 0.138 0.500 0.238
Gd3 0.186 0.500 0.893
Pt1 0.017 0.000 0.645
Br1 0.000 0.500 0.500
Br2 0.196 0.000 0.391
O1 0.022 0.246 0.798
O2 0.159 0.254 0.066
O3 0.177 0.000 0.681

No. 2
# NdY2Cd3Ir2Pt (PBE, relaxed)
# Energy relative to the elements: -0.64 eV per atom
# M_tot: 0.000 μB per cell
data_NdY2Cd3Ir2Pt
_cell_length_a 3.988
_cell_length_b 13.073
_cell_length_c 7.542
_cell_angle_alpha 90.00
_cell_angle_beta 90.00
_cell_angle_gamma 90.00
_symmetry_space_group_name_H-M 'A m m 2'
_symmetry_Int_Tables_number 38
loop_
_symmetry_equiv_pos_as_xyz
'x,y,z'
'-x,-y,z'
'-x,y,z'
'x,-y,z'
'x,y+1/2,z+1/2'
'-x,-y+1/2,z+1/2'
'-x,y+1/2,z+1/2'
'x,-y+1/2,z+1/2'
loop_
_atom_site_label
_atom_site_fract_x
_atom_site_fract_y
_atom_site_fract_z
Nd1 0.000 0.000 0.000
Y1 0.000 0.204 0.614
Cd1 0.500 0.000 0.666
Cd2 0.500 0.129 0.282
Ir1 0.500 0.169 0.909
Pt1 0.000 0.000 0.413

No. 3
# LuHfAsO (PBE, relaxed)
# Total energy: -7.4775 eV/atom
# M_tot: 0.453 μB per cell
data_LuHfAsO
_cell_length_a 4.032
_cell_length_b 4.032
_cell_length_c 8.269
_cell_angle_alpha 90.00
_cell_angle_beta 90.00
_cell_angle_gamma 90.00
_symmetry_space_group_name_H-M 'P 4/n m m'
_symmetry_Int_Tables_number 129
loop_
_symmetry_equiv_pos_as_xyz
'x,y,z'
'-x,-y,-z'
'-y+1/2,x,z'
'y+1/2,-x,-z'
'-x+1/2,-y+1/2,z'
'x+1/2,y+1/2,-z'
'y,-x+1/2,z'
'-y,x+1/2,-z'
'x+1/2,-y,-z'
'-x+1/2,y,z'
'-y,-x,-z'
'y,x,z'
'-x,y+1/2,-z'
'x,-y+1/2,z'
'y+1/2,x+1/2,-z'
'-y+1/2,-x+1/2,z'
loop_
_atom_site_label
_atom_site_fract_x
_atom_site_fract_y
_atom_site_fract_z
Lu1 0.250 0.750 0.000
Hf1 0.250 0.250 0.380
As1 0.250 0.250 0.766
O1 0.250 0.750 0.500